No. 1
Tm12Cr3H5 | PBE | optimized geometry

Unit cell a=13.005 b=13.005 c=13.005 alpha=109.47 beta=109.47 gamma=109.47
Fractional positions:
Tm1 0.020 0.210 0.117
Tm2 0.020 0.310 0.903
Tm3 0.094 0.710 0.690
Tm4 0.094 0.883 0.403
Tm5 0.097 0.617 0.406
Tm6 0.097 0.980 0.690
Tm7 0.117 0.020 0.210
Tm8 0.117 0.597 0.906
Tm9 0.190 0.210 0.594
Tm10 0.190 0.480 0.597
Tm11 0.210 0.117 0.020
Tm12 0.210 0.594 0.190
Tm13 0.290 0.310 0.906
Tm14 0.290 0.480 0.383
Tm15 0.310 0.903 0.020
Tm16 0.310 0.906 0.290
Tm17 0.383 0.290 0.480
Tm18 0.383 0.594 0.903
Tm19 0.403 0.094 0.883
Tm20 0.403 0.810 0.520
Tm21 0.406 0.097 0.617
Tm22 0.406 0.810 0.790
Tm23 0.480 0.383 0.290
Tm24 0.480 0.597 0.190
Tm25 0.520 0.403 0.810
Tm26 0.520 0.617 0.710
Tm27 0.594 0.190 0.210
Tm28 0.594 0.903 0.383
Tm29 0.597 0.190 0.480
Tm30 0.597 0.906 0.117
Tm31 0.617 0.406 0.097
Tm32 0.617 0.710 0.520
Tm33 0.690 0.094 0.710
Tm34 0.690 0.097 0.980
Tm35 0.710 0.520 0.617
Tm36 0.710 0.690 0.094
Tm37 0.790 0.406 0.810
Tm38 0.790 0.883 0.980
Tm39 0.810 0.520 0.403
Tm40 0.810 0.790 0.406
Tm41 0.883 0.403 0.094
Tm42 0.883 0.980 0.790
Tm43 0.903 0.020 0.310
Tm44 0.903 0.383 0.594
Tm45 0.906 0.117 0.597
Tm46 0.906 0.290 0.310
Tm47 0.980 0.690 0.097
Tm48 0.980 0.790 0.883
Cr1 0.125 0.250 0.375
Cr2 0.125 0.375 0.750
Cr3 0.250 0.375 0.125
Cr4 0.250 0.875 0.625
Cr5 0.375 0.125 0.250
Cr6 0.375 0.750 0.125
Cr7 0.625 0.250 0.875
Cr8 0.625 0.875 0.750
Cr9 0.750 0.125 0.375
Cr10 0.750 0.625 0.875
Cr11 0.875 0.625 0.250
Cr12 0.875 0.750 0.625
H1 0.000 0.000 0.000
H2 0.000 0.000 0.500
H3 0.000 0.500 0.000
H4 0.000 0.500 0.500
H5 0.125 0.750 0.875
H6 0.125 0.875 0.250
H7 0.250 0.125 0.875
H8 0.250 0.625 0.375
H9 0.375 0.250 0.625
H10 0.375 0.625 0.750
H11 0.500 0.000 0.000
H12 0.500 0.000 0.500
H13 0.500 0.500 0.000
H14 0.500 0.500 0.500
H15 0.625 0.375 0.250
H16 0.625 0.750 0.375
H17 0.750 0.375 0.625
H18 0.750 0.875 0.125
H19 0.875 0.125 0.750
H20 0.875 0.250 0.125

Values from the calculation:
DOS(E_F): 0.857 states/eV/atom
Raw total energy: -397.0 eV/cell
Volume: 21.166 Å³/atom

=====

No. 2
UCrH3 | PBE | optimized geometry

Unit cell a=3.564 b=3.564 c=3.564 alpha=90.00 beta=90.00 gamma=90.00
Fractional positions:
U1 0.000 0.000 0.000
Cr1 0.500 0.500 0.500
H1 0.000 0.500 0.500
H2 0.500 0.000 0.500
H3 0.500 0.500 0.000

Values from the calculation:
DOS(E_F): 0.952 states/eV/atom
Raw total energy: -31.1 eV/cell
Volume: 9.053 Å³/atom

=====

No. 3
VCrH | PBE | optimized geometry

Unit cell a=4.278 b=4.278 c=3.024 alpha=90.00 beta=90.00 gamma=91.29
Fractional positions:
V1 0.241 0.241 0.000
V2 0.759 0.759 0.000
Cr1 0.235 0.765 0.500
Cr2 0.765 0.235 0.500
H1 0.349 0.651 0.000
H2 0.651 0.349 0.000

Values from the calculation:
DOS(E_F): 0.453 states/eV/atom
Raw total energy: -44.4 eV/cell
Volume: 9.221 Å³/atom

=====

No. 4
VCr2H | PBE | optimized geometry

Unit cell a=3.943 b=3.943 c=3.943 alpha=60.00 beta=60.00 gamma=60.00
Fractional positions:
V1 0.000 0.000 0.000
Cr1 0.250 0.250 0.250
Cr2 0.750 0.750 0.750
H1 0.500 0.500 0.500

Values from the calculation:
DOS(E_F): 1.222 states/eV/atom
Raw total energy: -28.5 eV/cell
Volume: 10.839 Å³/atom

=====

No. 5
V6CrH8 | PBE | optimized geometry

Unit cell a=4.928 b=4.928 c=4.928 alpha=102.29 beta=102.29 gamma=102.29
Fractional positions:
V1 0.085 0.645 0.788
V2 0.212 0.915 0.355
V3 0.355 0.212 0.915
V4 0.645 0.788 0.085
V5 0.788 0.085 0.645
V6 0.915 0.355 0.212
Cr1 0.500 0.500 0.500
H1 0.133 0.289 0.589
H2 0.225 0.225 0.225
H3 0.289 0.589 0.133
H4 0.411 0.867 0.711
H5 0.589 0.133 0.289
H6 0.711 0.411 0.867
H7 0.775 0.775 0.775
H8 0.867 0.711 0.411

Values from the calculation:
DOS(E_F): 0.579 states/eV/atom
Raw total energy: -92.7 eV/cell
Volume: 7.334 Å³/atom

=====

No. 6
V4Cr2H | PBE | optimized geometry

Unit cell a=7.346 b=7.346 c=7.346 alpha=152.70 beta=152.70 gamma=38.99
Fractional positions:
V1 0.000 0.500 0.500
V2 0.178 0.178 0.000
V3 0.500 0.000 0.500
V4 0.822 0.822 0.000
Cr1 0.358 0.358 0.000
Cr2 0.642 0.642 0.000
H1 0.000 0.000 0.000

Values from the calculation:
DOS(E_F): 1.124 states/eV/atom
Raw total energy: -57.0 eV/cell
Volume: 11.892 Å³/atom

=====

No. 7
V2CrH4 | PBE | optimized geometry

Unit cell a=5.326 b=5.326 c=5.314 alpha=119.73 beta=119.73 gamma=90.45
Fractional positions:
V1 0.000 0.000 0.000
V2 0.000 0.000 0.500
V3 0.000 0.500 0.000
V4 0.500 0.000 0.500
Cr1 0.376 0.624 0.750
Cr2 0.624 0.376 0.250
H1 0.221 0.242 0.980
H2 0.238 0.759 0.480
H3 0.241 0.762 0.020
H4 0.242 0.221 0.480
H5 0.758 0.779 0.520
H6 0.759 0.238 0.980
H7 0.762 0.241 0.520
H8 0.779 0.758 0.020

Values from the calculation:
DOS(E_F): 0.633 states/eV/atom
Raw total energy: -83.1 eV/cell
Volume: 7.645 Å³/atom

=====

No. 8
VCr2H | PBE | optimized geometry

Unit cell a=5.529 b=5.529 c=5.529 alpha=38.69 beta=38.69 gamma=38.69
Fractional positions:
V1 0.000 0.000 0.000
Cr1 0.392 0.392 0.392
Cr2 0.608 0.608 0.608
H1 0.500 0.500 0.500

Values from the calculation:
DOS(E_F): 1.061 states/eV/atom
Raw total energy: -27.2 eV/cell
Volume: 14.838 Å³/atom

=====

Question: Which of these has the highest DOS(E_F)?
Answer: number 4